The following is a PBE calculation of a geometry-optimized Sc3Zn2Cd2 structure, from Alexandria via LeMat-Bulk.

Output
SG = Cmmm, No. 65
Fermi-level density of states = 6.13 states/eV per cell
Total moment = 0.00 μB per formula unit
E_tot = -25.43 eV/f.u.

abc: 10.4116 10.4116 3.2804
angles: 90.00 90.00 156.52
Atoms (fractional coordinates):
Sc  0.0000  0.0000  0.0000
Sc  0.1623  0.8377  0.0000
Sc  0.8377  0.1623  0.0000
Zn  0.2821  0.7179  0.5000
Zn  0.7179  0.2821  0.5000
Cd  0.4208  0.5792  0.5000
Cd  0.5792  0.4208  0.5000



The following is a PBE calculation of a geometry-optimized Pr4Er3Tm2 structure, from Alexandria via LeMat-Bulk.

Output
SG = C2/c, No. 15
Fermi-level density of states = 24.43 states/eV per cell
Total moment = 0.00 μB per formula unit
E_tot = -41.29 eV/f.u.

abc: 9.8345 9.8345 7.0734
angles: 90.02 90.02 59.73
Atoms (fractional coordinates):
Pr  0.1510  0.8205  0.9998
Pr  0.1531  0.5251  0.5005
Pr  0.1795  0.8490  0.5002
Pr  0.4749  0.8469  0.9995
Pr  0.5251  0.1531  0.0005
Pr  0.8205  0.1510  0.4998
Pr  0.8469  0.4749  0.4995
Pr  0.8490  0.1795  0.0002
Er  0.1722  0.1717  0.2501
Er  0.1717  0.1722  0.7501
Er  0.4998  0.5002  0.2500
Er  0.5002  0.4998  0.7500
Er  0.8283  0.8278  0.2499
Er  0.8278  0.8283  0.7499
Tm  0.1777  0.4750  0.0005
Tm  0.4750  0.1777  0.5005
Tm  0.5250  0.8223  0.4995
Tm  0.8223  0.5250  0.9995



The following is a PBE calculation of a geometry-optimized NaMnPd2 structure, from Alexandria via LeMat-Bulk.

Output
SG = P4/mmm, No. 123
Fermi-level density of states = 1.34 states/eV per cell
Total moment = 4.54 μB per formula unit
E_tot = -21.51 eV/f.u.

abc: 3.0118 3.0118 7.5562
angles: 90.00 90.00 90.00
Atoms (fractional coordinates):
Na  0.0000  0.0000  0.0000
Mn  0.0000  0.0000  0.5000
Pd  0.5000  0.5000  0.2892
Pd  0.5000  0.5000  0.7108



total moment of number 3 (NaMnPd2)?
4.54 μB per formula unit